A relaxed structure of Ba2TlReO6. Source: Alexandria, functional PBE.

Geometry as POSCAR:
```
Ba2TlReO6
1.0
6.4889 0.0067 0.0182
3.2503 5.6003 0.0202
3.2605 1.8791 4.8893
Ba Tl Re O
2 1 1 6
direct
0.5582 0.5574 0.3289
0.0741 0.0748 0.7744
0.8161 0.8161 0.5517
0.3162 0.3162 0.0515
0.4953 0.2108 0.2764
0.2077 0.0172 0.2843
0.0178 0.4976 0.2771
0.4245 0.6152 0.8186
0.6146 0.1349 0.8257
0.1371 0.4214 0.8265
```

## Properties
Raw formation energy: -2.02 eV per atom
Space-group type: P-1
M_tot: 0.00 μB per formula unit
E_tot: -6.856 eV per atom